# 1
{"formula": "Mg3AgIr", "functional": "PBEsol", "state": "optimized geometry", "lattice": [[4.8888, 0.0000, 0.0000], [0.0000, 4.8888, 0.0000], [0.0000, 0.0000, 4.8888]], "species": ["Mg", "Mg", "Mg", "Ir", "Ag"], "frac_coords": [[0.0000, 0.5000, 0.0000], [0.0000, 0.0000, 0.5000], [0.5000, 0.0000, 0.0000], [0.0000, 0.0000, 0.0000], [0.5000, 0.5000, 0.5000]], "dft_energy_ev_per_atom": -3.406, "space_group": "Pm-3m, No. 221", "density_g_cm3": 5.301, "dos_at_fermi_per_ev_cell": 1.85}

---

# 2
{"formula": "Fe4Co", "functional": "PBEsol", "state": "optimized geometry", "lattice": [[3.9575, 0.0000, 0.0000], [1.9787, 3.4273, 0.0000], [1.9787, 1.1424, 4.0395]], "species": ["Co", "Fe", "Fe", "Fe", "Fe"], "frac_coords": [[0.0000, 0.0000, 0.0000], [0.1988, 0.1988, 0.4036], [0.3999, 0.3999, 0.8004], [0.6001, 0.6001, 0.1996], [0.8012, 0.8012, 0.5964]], "dft_energy_ev_per_atom": -8.703, "space_group": "R-3m, No. 166", "density_g_cm3": 8.556, "dos_at_fermi_per_ev_cell": 3.90}

---

# 3
{"formula": "SnHg2Pb2", "functional": "PBEsol", "state": "optimized geometry", "lattice": [[-0.0126, 3.8463, -1.3428], [-2.7159, 0.9930, 2.8696], [7.6313, -0.5538, 4.5223]], "species": ["Pb", "Pb", "Hg", "Hg", "Sn"], "frac_coords": [[0.4018, 0.4018, 0.8037], [0.5982, 0.5982, 0.1963], [0.2500, 0.7500, 0.5000], [0.7500, 0.2500, 0.5000], [0.0000, 0.0000, 0.0000]], "dft_energy_ev_per_atom": -2.604, "space_group": "I4/mmm, No. 139", "density_g_cm3": 11.117, "dos_at_fermi_per_ev_cell": 2.33}

---

Please write out number 1 again, unchanged.
{"formula": "Mg3AgIr", "functional": "PBEsol", "state": "optimized geometry", "lattice": [[4.8888, 0.0000, 0.0000], [0.0000, 4.8888, 0.0000], [0.0000, 0.0000, 4.8888]], "species": ["Mg", "Mg", "Mg", "Ir", "Ag"], "frac_coords": [[0.0000, 0.5000, 0.0000], [0.0000, 0.0000, 0.5000], [0.5000, 0.0000, 0.0000], [0.0000, 0.0000, 0.0000], [0.5000, 0.5000, 0.5000]], "dft_energy_ev_per_atom": -3.406, "space_group": "Pm-3m, No. 221", "density_g_cm3": 5.301, "dos_at_fermi_per_ev_cell": 1.85}

---

Repeat the second record exactly.
{"formula": "Fe4Co", "functional": "PBEsol", "state": "optimized geometry", "lattice": [[3.9575, 0.0000, 0.0000], [1.9787, 3.4273, 0.0000], [1.9787, 1.1424, 4.0395]], "species": ["Co", "Fe", "Fe", "Fe", "Fe"], "frac_coords": [[0.0000, 0.0000, 0.0000], [0.1988, 0.1988, 0.4036], [0.3999, 0.3999, 0.8004], [0.6001, 0.6001, 0.1996], [0.8012, 0.8012, 0.5964]], "dft_energy_ev_per_atom": -8.703, "space_group": "R-3m, No. 166", "density_g_cm3": 8.556, "dos_at_fermi_per_ev_cell": 3.90}

---

Copy entry 2 word for word.
{"formula": "Fe4Co", "functional": "PBEsol", "state": "optimized geometry", "lattice": [[3.9575, 0.0000, 0.0000], [1.9787, 3.4273, 0.0000], [1.9787, 1.1424, 4.0395]], "species": ["Co", "Fe", "Fe", "Fe", "Fe"], "frac_coords": [[0.0000, 0.0000, 0.0000], [0.1988, 0.1988, 0.4036], [0.3999, 0.3999, 0.8004], [0.6001, 0.6001, 0.1996], [0.8012, 0.8012, 0.5964]], "dft_energy_ev_per_atom": -8.703, "space_group": "R-3m, No. 166", "density_g_cm3": 8.556, "dos_at_fermi_per_ev_cell": 3.90}